# PBE PaSeBr2, relaxed
data_PaSeBr2
_space_group_name_H-M_alt 'P 1'
_space_group_IT_number 1
_space_group_name_Hall 'P 1'
_cell_length_a 4.178
_cell_length_b 10.551
_cell_length_c 7.276
_cell_angle_alpha 91.58
_cell_angle_beta 90.00
_cell_angle_gamma 90.00
loop_
_atom_site_label
_atom_site_type_symbol
_atom_site_fract_x
_atom_site_fract_y
_atom_site_fract_z
_atom_site_occupancy
Pa1 Pa 0.750 0.332 0.421 1
Pa2 Pa 0.250 0.668 0.579 1
Se1 Se 0.750 0.516 0.719 1
Se2 Se 0.250 0.484 0.281 1
Br1 Br 0.750 0.174 0.125 1
Br2 Br 0.250 0.826 0.875 1
Br3 Br 0.750 0.806 0.394 1
Br4 Br 0.250 0.194 0.606 1
# E above lowest polymorph, meV per atom: 0
# Uncorrected formation energy, eV per atom: -1.386